8
Lattice="3.138 0.000 0.000 0.000 5.148 0.000 0.000 0.000 9.080" Properties=species:S:1:pos:R:3 comment="Tl2CoRe, optimized geometry, DFT PBE" dos_ef_per_ev_cell=9.76 e_form_mev_per_atom=996.6 e_tot_ev_per_cell=-40.60 e_above_lowest_polymorph_mev_per_atom=434.1 pbc="T T T"
Tl 0.000 0.000 2.136
Tl 0.000 0.000 6.945
Tl 1.569 2.574 2.136
Tl 1.569 2.574 6.945
Co 0.000 2.574 0.000
Co 1.569 0.000 0.000
Re 0.000 2.574 4.540
Re 1.569 0.000 4.540